## a
The following is a DFT calculation (PBE-GGA) of a relaxed DyLu2Sn crystal.

abc: 4.7416 4.7493 4.7493
angles: 90.00 90.00 90.00
Fractional coordinates of all 4 atoms:
Lu1 0.0000 0.0000 0.5000
Lu2 0.0000 0.5000 0.0000
Sn1 0.5000 0.0000 0.0000
Dy1 0.5000 0.5000 0.5000


## b
The following is a DFT calculation (PBE-GGA) of a relaxed DyLu2Sn crystal.

abc: 3.4274 3.4274 11.7929
angles: 81.64 81.64 60.00
Site moments in Bohr magnetons follow the coordinates.
Fractional coordinates of all 4 atoms:
Lu1 0.0953 0.0953 0.7141  0.07
Lu2 0.9047 0.9047 0.2859  0.07
Sn1 0.5000 0.5000 0.5000  0.00
Dy1 0.0000 0.0000 0.0000  0.22


## c
The following is a DFT calculation (PBE-GGA) of a relaxed DyLu2Sn crystal.

abc: 3.6306 3.6306 8.5979
angles: 90.00 90.00 90.00
Fractional coordinates of all 4 atoms:
Lu1 0.0000 0.0000 0.7751
Lu2 0.0000 0.0000 0.2249
Sn1 0.5000 0.5000 0.0000
Dy1 0.5000 0.5000 0.5000


Which of them is least stable? Easy: b.